No. 1
! Y3PIr (SCAN, PBEsol geometry); values from VASP
&SYSTEM
  ibrav = 0, nat = 5, ntyp = 3
/
ATOMIC_SPECIES
Y 88.91 Y.upf
P 30.97 P.upf
Ir 192.22 Ir.upf
ATOMIC_POSITIONS crystal
Y 0.000 0.500 0.000
Y 0.000 0.000 0.500
Y 0.500 0.000 0.000
P 0.500 0.500 0.500
Ir 0.000 0.000 0.000
CELL_PARAMETERS angstrom
5.236 0.000 0.000
0.000 5.236 0.000
0.000 0.000 5.236
! - DOS at the Fermi energy (states/eV/atom) = 1.01
! - M_tot (μB/atom) = 0.00
! - space-group type = Pm-3m (221)
! - total energy (eV per atom) = -33.431

No. 2
! Y2PIr (SCAN, PBEsol geometry); values from VASP
&SYSTEM
  ibrav = 0, nat = 4, ntyp = 3
/
ATOMIC_SPECIES
Ir 192.22 Ir.upf
P 30.97 P.upf
Y 88.91 Y.upf
ATOMIC_POSITIONS crystal
Ir 0.500 0.500 0.000
P 0.500 0.500 0.500
Y 0.000 0.000 0.745
Y 0.000 0.000 0.255
CELL_PARAMETERS angstrom
3.391 0.000 0.000
0.000 3.391 0.000
0.000 0.000 6.845
! - DOS at the Fermi energy (states/eV/atom) = 0.31
! - M_tot (μB/atom) = 0.00
! - space-group type = P4/mmm (123)
! - total energy (eV per atom) = -35.396

No. 3
! YP2Ir2 (SCAN, PBEsol geometry); values from VASP
&SYSTEM
  ibrav = 0, nat = 10, ntyp = 3
/
ATOMIC_SPECIES
Ir 192.22 Ir.upf
P 30.97 P.upf
Y 88.91 Y.upf
ATOMIC_POSITIONS crystal
Ir 0.000 0.000 0.000
Ir 0.500 0.500 0.000
Ir 0.500 0.000 0.616
Ir 0.000 0.500 0.384
P 0.000 0.000 0.500
P 0.500 0.500 0.500
P 0.500 0.000 0.860
P 0.000 0.500 0.140
Y 0.500 0.000 0.257
Y 0.000 0.500 0.743
CELL_PARAMETERS angstrom
-1.576 3.061 2.179
-3.229 0.106 -2.483
-4.481 -6.265 5.559
! - DOS at the Fermi energy (states/eV/atom) = 0.34
! - M_tot (μB/atom) = 0.00
! - space-group type = P4/nmm (129)
! - total energy (eV per atom) = -39.324

No. 4
! ZnPIr3 (SCAN, PBEsol geometry); values from VASP
&SYSTEM
  ibrav = 0, nat = 5, ntyp = 3
/
ATOMIC_SPECIES
P 30.97 P.upf
Zn 65.41 Zn.upf
Ir 192.22 Ir.upf
ATOMIC_POSITIONS crystal
P 0.500 0.500 0.500
Zn 0.000 0.000 0.000
Ir 0.000 0.500 0.000
Ir 0.000 0.000 0.500
Ir 0.500 0.000 0.000
CELL_PARAMETERS angstrom
4.453 0.000 0.000
0.000 4.453 0.000
0.000 0.000 4.453
! - DOS at the Fermi energy (states/eV/atom) = 1.12
! - M_tot (μB/atom) = 0.00
! - space-group type = Pm-3m (221)
! - total energy (eV per atom) = -45.461

No. 5
! ZnP2Ir (SCAN, PBEsol geometry); values from VASP
&SYSTEM
  ibrav = 0, nat = 4, ntyp = 3
/
ATOMIC_SPECIES
Ir 192.22 Ir.upf
P 30.97 P.upf
Zn 65.41 Zn.upf
ATOMIC_POSITIONS crystal
Ir 0.697 0.375 0.394
P 0.185 0.090 0.370
P 0.194 0.659 0.389
Zn 0.424 0.376 0.847
CELL_PARAMETERS angstrom
3.736 0.000 0.000
0.000 4.822 0.095
-1.868 -0.301 4.441
! - DOS at the Fermi energy (states/eV/atom) = 0.33
! - M_tot (μB/atom) = 0.00
! - space-group type = Cm (8)
! - total energy (eV per atom) = -26.541

No. 6
! ZnPIr (SCAN, PBEsol geometry); values from VASP
&SYSTEM
  ibrav = 0, nat = 3, ntyp = 3
/
ATOMIC_SPECIES
Ir 192.22 Ir.upf
P 30.97 P.upf
Zn 65.41 Zn.upf
ATOMIC_POSITIONS crystal
Ir 0.250 0.250 0.250
P 0.000 0.000 0.000
Zn 0.500 0.500 0.500
CELL_PARAMETERS angstrom
-2.077 2.877 1.933
-2.776 2.166 -1.983
-3.926 -0.532 0.797
! - DOS at the Fermi energy (states/eV/atom) = 0.78
! - M_tot (μB/atom) = 0.00
! - space-group type = F-43m (216)
! - total energy (eV per atom) = -31.816

No. 7
! ZnPIr2 (SCAN, PBEsol geometry); values from VASP
&SYSTEM
  ibrav = 0, nat = 4, ntyp = 3
/
ATOMIC_SPECIES
Ir 192.22 Ir.upf
P 30.97 P.upf
Zn 65.41 Zn.upf
ATOMIC_POSITIONS crystal
Ir 0.250 0.500 0.250
Ir 0.750 0.500 0.750
P 0.500 0.000 0.500
Zn 0.000 0.000 0.000
CELL_PARAMETERS angstrom
-2.664 -2.195 2.049
4.126 -1.335 0.002
2.129 0.551 3.358
! - DOS at the Fermi energy (states/eV/atom) = 0.30
! - excess energy over the best structure of this formula in the dataset (eV/f.u.) = 0.517
! - M_tot (μB/atom) = 0.00
! - space-group type = I4/mmm (139)
! - total energy (eV per atom) = -41.549

No. 8
! ZnP2Ir (SCAN, PBEsol geometry); values from VASP
&SYSTEM
  ibrav = 0, nat = 8, ntyp = 3
/
ATOMIC_SPECIES
P 30.97 P.upf
Zn 65.41 Zn.upf
Ir 192.22 Ir.upf
ATOMIC_POSITIONS crystal
P 0.356 0.875 0.250
P 0.894 0.375 0.250
P 0.125 0.106 0.750
P 0.625 0.644 0.750
Zn 0.750 0.250 0.500
Zn 0.500 0.500 0.000
Ir 0.250 0.750 0.500
Ir 0.000 0.000 0.000
CELL_PARAMETERS angstrom
-1.746 5.027 0.559
-0.435 -0.738 5.281
6.029 -0.500 -2.283
! - DOS at the Fermi energy (states/eV/atom) = 0.43
! - M_tot (μB/atom) = 0.00
! - space-group type = I-42d (122)
! - total energy (eV per atom) = -26.565

No. 9
! Zn3PIr (SCAN, PBEsol geometry); values from VASP
&SYSTEM
  ibrav = 0, nat = 5, ntyp = 3
/
ATOMIC_SPECIES
P 30.97 P.upf
Zn 65.41 Zn.upf
Ir 192.22 Ir.upf
ATOMIC_POSITIONS crystal
P 0.000 0.000 0.000
Zn 0.000 0.500 0.000
Zn 0.000 0.000 0.500
Zn 0.500 0.000 0.000
Ir 0.500 0.500 0.500
CELL_PARAMETERS angstrom
4.388 0.000 0.000
0.000 4.388 0.000
0.000 0.000 4.388
! - DOS at the Fermi energy (states/eV/atom) = 0.49
! - M_tot (μB/atom) = 0.00
! - space-group type = Pm-3m (221)
! - total energy (eV per atom) = -23.549

No. 10
! ZnPIr2 (SCAN, PBEsol geometry); values from VASP
&SYSTEM
  ibrav = 0, nat = 4, ntyp = 3
/
ATOMIC_SPECIES
Ir 192.22 Ir.upf
P 30.97 P.upf
Zn 65.41 Zn.upf
ATOMIC_POSITIONS crystal
Ir 0.500 0.000 0.245
Ir 0.500 0.000 0.755
P 0.500 0.500 0.500
Zn 0.000 0.500 0.000
CELL_PARAMETERS angstrom
2.892 0.000 0.000
0.000 3.562 0.000
0.000 0.000 5.575
! - DOS at the Fermi energy (states/eV/atom) = 0.34
! - excess energy over the best structure of this formula in the dataset (eV/f.u.) = 0.000
! - M_tot (μB/atom) = 0.00
! - space-group type = Pmmm (47)
! - total energy (eV per atom) = -41.678

No. 11
! ZnPIr2 (SCAN, PBEsol geometry); values from VASP
&SYSTEM
  ibrav = 0, nat = 4, ntyp = 3
/
ATOMIC_SPECIES
Ir 192.22 Ir.upf
P 30.97 P.upf
Zn 65.41 Zn.upf
ATOMIC_POSITIONS crystal
Ir 0.995 0.912 0.990
Ir 0.762 0.318 0.523
P 0.492 0.461 0.984
Zn 0.252 0.809 0.504
CELL_PARAMETERS angstrom
2.890 0.000 0.000
0.000 4.349 0.013
-1.445 -1.163 4.282
! - DOS at the Fermi energy (states/eV/atom) = 0.35
! - excess energy over the best structure of this formula in the dataset (eV/f.u.) = 0.171
! - M_tot (μB/atom) = 0.00
! - space-group type = Cm (8)
! - total energy (eV per atom) = -41.635

No. 12
! ZrP2Ir (SCAN, PBEsol geometry); values from VASP
&SYSTEM
  ibrav = 0, nat = 4, ntyp = 3
/
ATOMIC_SPECIES
Ir 192.22 Ir.upf
P 30.97 P.upf
Zr 91.22 Zr.upf
ATOMIC_POSITIONS crystal
Ir 0.287 0.787 0.574
P 0.950 0.950 0.900
P 0.725 0.225 0.451
Zr 0.538 0.538 0.075
CELL_PARAMETERS angstrom
-0.182 2.395 -2.460
0.756 -2.396 -2.388
-5.326 -0.995 1.829
! - DOS at the Fermi energy (states/eV/atom) = 0.38
! - M_tot (μB/atom) = 0.00
! - space-group type = Imm2 (44)
! - total energy (eV per atom) = -31.507

No. 13
! ZrP3Ir (SCAN, PBEsol geometry); values from VASP
&SYSTEM
  ibrav = 0, nat = 5, ntyp = 3
/
ATOMIC_SPECIES
P 30.97 P.upf
Ir 192.22 Ir.upf
Zr 91.22 Zr.upf
ATOMIC_POSITIONS crystal
P 0.000 0.500 0.000
P 0.000 0.000 0.500
P 0.500 0.000 0.000
Ir 0.000 0.000 0.000
Zr 0.500 0.500 0.500
CELL_PARAMETERS angstrom
-0.665 1.907 -4.089
-4.158 1.346 1.304
1.752 3.918 1.542
! - DOS at the Fermi energy (states/eV/atom) = 0.97
! - M_tot (μB/atom) = 0.00
! - space-group type = Pm-3m (221)
! - total energy (eV per atom) = -26.130

No. 14
! ZrPIr2 (SCAN, PBEsol geometry); values from VASP
&SYSTEM
  ibrav = 0, nat = 4, ntyp = 3
/
ATOMIC_SPECIES
Ir 192.22 Ir.upf
P 30.97 P.upf
Zr 91.22 Zr.upf
ATOMIC_POSITIONS crystal
Ir 0.000 0.000 0.011
Ir 0.500 0.500 0.295
P 0.000 0.000 0.424
Zr 0.500 0.500 0.770
CELL_PARAMETERS angstrom
2.938 0.000 0.000
0.000 3.744 0.000
0.000 0.000 5.700
! - DOS at the Fermi energy (states/eV/atom) = 0.62
! - M_tot (μB/atom) = 0.00
! - space-group type = Pmm2 (25)
! - total energy (eV per atom) = -46.311

No. 15
! ZrPIr2 (SCAN, PBEsol geometry); values from VASP
&SYSTEM
  ibrav = 0, nat = 8, ntyp = 3
/
ATOMIC_SPECIES
P 30.97 P.upf
Ir 192.22 Ir.upf
Zr 91.22 Zr.upf
ATOMIC_POSITIONS crystal
P 0.750 0.250 0.500
P 0.500 0.500 0.000
Ir 0.412 0.875 0.250
Ir 0.838 0.375 0.250
Ir 0.125 0.162 0.750
Ir 0.625 0.588 0.750
Zr 0.250 0.750 0.500
Zr 0.000 0.000 0.000
CELL_PARAMETERS angstrom
-3.603 -1.666 -0.246
1.247 -3.031 2.254
-1.216 6.505 5.910
! - DOS at the Fermi energy (states/eV/atom) = 0.57
! - M_tot (μB/atom) = 0.00
! - space-group type = I-42d (122)
! - total energy (eV per atom) = -46.240